No. 1
The following is a DFT calculation (GGA-PBEsol) of crystalline KBa2Bi3O9 at its relaxed geometry.

Output
final energy = -6.005 eV per atom
ΔE_f (raw) = -1.64 eV/atom

Geometry as CIF:
```
data_KBa2Bi3O9
_cell_length_a 6.105
_cell_length_b 6.105
_cell_length_c 7.479
_cell_angle_alpha 90.00
_cell_angle_beta 90.00
_cell_angle_gamma 120.00
_space_group_name_H-M_alt 'P 1'
_space_group_IT_number 1
loop_
_space_group_symop_operation_xyz
'x,y,z'
loop_
_atom_site_label
_atom_site_type_symbol
_atom_site_fract_x
_atom_site_fract_y
_atom_site_fract_z
K1 K 0.000 0.000 0.000
Ba1 Ba 0.333 0.667 0.666
Ba2 Ba 0.667 0.333 0.334
Bi1 Bi 0.000 0.000 0.500
Bi2 Bi 0.333 0.667 0.164
Bi3 Bi 0.667 0.333 0.836
O1 O 0.171 0.343 0.344
O2 O 0.500 0.000 0.000
O3 O 0.829 0.657 0.656
O4 O 0.343 0.171 0.656
O5 O 0.657 0.829 0.344
O6 O 0.000 0.500 0.000
O7 O 0.171 0.829 0.344
O8 O 0.500 0.500 0.000
O9 O 0.829 0.171 0.656
```



No. 2
The following is a DFT calculation (GGA-PBEsol) of crystalline K2BaBi3O9 at its relaxed geometry.

Output
final energy = -5.697 eV per atom
ΔE_f (raw) = -1.40 eV/atom

Geometry as CIF:
```
data_K2BaBi3O9
_cell_length_a 6.022
_cell_length_b 6.022
_cell_length_c 7.383
_cell_angle_alpha 90.00
_cell_angle_beta 90.00
_cell_angle_gamma 120.00
_space_group_name_H-M_alt 'P 1'
_space_group_IT_number 1
loop_
_space_group_symop_operation_xyz
'x,y,z'
loop_
_atom_site_label
_atom_site_type_symbol
_atom_site_fract_x
_atom_site_fract_y
_atom_site_fract_z
K1 K 0.333 0.667 0.669
K2 K 0.667 0.333 0.331
Ba1 Ba 0.000 0.000 0.000
Bi1 Bi 0.000 0.000 0.500
Bi2 Bi 0.333 0.667 0.170
Bi3 Bi 0.667 0.333 0.830
O1 O 0.323 0.161 0.677
O2 O 0.677 0.839 0.323
O3 O 0.000 0.500 0.000
O4 O 0.161 0.839 0.323
O5 O 0.500 0.500 0.000
O6 O 0.839 0.161 0.677
O7 O 0.161 0.323 0.323
O8 O 0.500 0.000 0.000
O9 O 0.839 0.677 0.677
```



No. 3
The following is a DFT calculation (GGA-PBEsol) of crystalline KBa2Bi2O7 at its relaxed geometry.

Output
final energy = -5.975 eV per atom
ΔE_f (raw) = -1.75 eV/atom

Geometry as CIF:
```
data_KBa2Bi2O7
_cell_length_a 4.306
_cell_length_b 4.306
_cell_length_c 11.406
_cell_angle_alpha 100.88
_cell_angle_beta 100.88
_cell_angle_gamma 90.00
_space_group_name_H-M_alt 'P 1'
_space_group_IT_number 1
loop_
_space_group_symop_operation_xyz
'x,y,z'
loop_
_atom_site_label
_atom_site_type_symbol
_atom_site_fract_x
_atom_site_fract_y
_atom_site_fract_z
K1 K 0.313 0.313 0.626
Ba1 Ba 0.495 0.495 0.991
Ba2 Ba 0.689 0.689 0.378
Bi1 Bi 0.098 0.098 0.195
Bi2 Bi 0.897 0.897 0.794
O1 O 0.193 0.193 0.387
O2 O 0.802 0.802 0.605
O3 O 0.097 0.597 0.193
O4 O 0.597 0.097 0.193
O5 O 0.910 0.410 0.820
O6 O 0.410 0.910 0.820
O7 O 0.000 0.000 0.000
```